Record 1
# NdMnNi

Crystalline NdMnNi at its relaxed geometry (PBE-GGA, the Alexandria database).

Computed properties:
As for the energy relative to the elements: 0.160 eV/atom. As for the space group: Fddd, No. 70. For the energy, the calculation gives -6.41 eV/atom.

a b c (Å): 5.1535 5.3487 9.7779
angles (deg): 82.71 74.72 61.20
Last column: nearest neighbours and their distance in Å.
Sites, in units of the cell vectors:
Mn1 0.1636 0.5000 0.6729  4 Ni 2.68-2.77
Mn2 0.3364 0.5000 0.3271  4 Ni 2.68-2.77
Mn3 0.5864 0.0000 0.8271  4 Ni 2.68-2.77
Mn4 0.4136 0.0000 0.1729  4 Ni 2.68-2.77
Ni1 0.6251 0.5000 0.7497  2 Ni 2.67, 4 Mn 2.68-2.77, 4 Nd 2.81
Ni2 0.8749 0.5000 0.2503  2 Ni 2.67, 4 Mn 2.68-2.77, 4 Nd 2.81
Ni3 0.1249 0.0000 0.7503  2 Ni 2.67, 4 Mn 2.68-2.77, 4 Nd 2.81
Ni4 0.8751 0.0000 0.2497  2 Ni 2.67, 4 Mn 2.68-2.77, 4 Nd 2.81
Nd1 0.9139 0.1722 0.5000  4 Ni 2.81, 3 Nd 3.04-3.07
Nd2 0.5861 0.8278 0.5000  4 Ni 2.81, 3 Nd 3.04-3.07
Nd3 0.8361 0.3278 0.0000  4 Ni 2.81, 3 Nd 3.04-3.07
Nd4 0.1639 0.6722 0.0000  4 Ni 2.81, 3 Nd 3.04-3.07


Record 2
# Nd6Mn16Ni7

Crystalline Nd6Mn16Ni7 at its relaxed geometry (PBE-GGA, the Alexandria database).

Computed properties:
As for the energy relative to the elements: 0.046 eV/atom. As for the space group: Fm-3m, No. 225. For the energy, the calculation gives -7.39 eV/atom.

a b c (Å): 8.7632 8.7632 8.7632
angles (deg): 60.00 60.00 60.00
Last column: nearest neighbours and their distance in Å.
Sites, in units of the cell vectors:
Nd1 0.2953 0.7047 0.7047  8 Mn 3.02-3.13, 4 Ni 3.15
Nd2 0.2953 0.2953 0.7047  8 Mn 3.02-3.13, 4 Ni 3.15
Nd3 0.2953 0.7047 0.2953  8 Mn 3.02-3.13, 4 Ni 3.15
Nd4 0.7047 0.2953 0.2953  8 Mn 3.02-3.13, 4 Ni 3.15
Nd5 0.7047 0.7047 0.2953  8 Mn 3.02-3.13, 4 Ni 3.15
Nd6 0.7047 0.2953 0.7047  8 Mn 3.02-3.13, 4 Ni 3.15
Mn1 0.3610 0.8797 0.8797  4 Ni 2.58-2.72, 3 Mn 2.70
Mn2 0.8797 0.8797 0.3610  4 Ni 2.58-2.72, 3 Mn 2.70
Mn3 0.8797 0.3610 0.8797  4 Ni 2.58-2.72, 3 Mn 2.70
Mn4 0.8797 0.8797 0.8797  4 Ni 2.58-2.72, 3 Mn 2.70
Mn5 0.6390 0.1203 0.1203  4 Ni 2.58-2.72, 3 Mn 2.70
Mn6 0.1203 0.1203 0.6390  4 Ni 2.58-2.72, 3 Mn 2.70
Mn7 0.1203 0.6390 0.1203  4 Ni 2.58-2.72, 3 Mn 2.70
Mn8 0.1203 0.1203 0.1203  4 Ni 2.58-2.72, 3 Mn 2.70
Mn9 0.9677 0.6774 0.6774  3 Ni 2.54, 6 Mn 2.54-2.70
Mn10 0.6774 0.6774 0.9677  3 Ni 2.54, 6 Mn 2.54-2.70
Mn11 0.6774 0.9677 0.6774  3 Ni 2.54, 6 Mn 2.54-2.70
Mn12 0.6774 0.6774 0.6774  3 Ni 2.54, 6 Mn 2.54-2.70
Mn13 0.0323 0.3226 0.3226  3 Ni 2.54, 6 Mn 2.54-2.70
Mn14 0.3226 0.3226 0.0323  3 Ni 2.54, 6 Mn 2.54-2.70
Mn15 0.3226 0.0323 0.3226  3 Ni 2.54, 6 Mn 2.54-2.70
Mn16 0.3226 0.3226 0.3226  3 Ni 2.54, 6 Mn 2.54-2.70
Ni1 0.0000 0.0000 0.0000  8 Mn 2.58
Ni2 0.5000 0.0000 0.0000  8 Mn 2.54-2.72
Ni3 0.5000 0.5000 0.0000  8 Mn 2.54-2.72
Ni4 0.5000 0.0000 0.5000  8 Mn 2.54-2.72
Ni5 0.0000 0.5000 0.5000  8 Mn 2.54-2.72
Ni6 0.0000 0.0000 0.5000  8 Mn 2.54-2.72
Ni7 0.0000 0.5000 0.0000  8 Mn 2.54-2.72


Record 3
# Nd3Mn2Ni9

Crystalline Nd3Mn2Ni9 at its relaxed geometry (PBE-GGA, the Alexandria database).

Computed properties:
As for the energy relative to the elements: -0.163 eV/atom. As for the space group: Immm, No. 71. For the energy, the calculation gives -6.21 eV/atom.

a b c (Å): 4.0357 7.8290 7.8290
angles (deg): 69.65 75.06 75.06
Last column: nearest neighbours and their distance in Å.
Sites, in units of the cell vectors:
Nd1 0.0000 0.0000 0.0000  4 Ni 2.87
Nd2 0.6992 0.3008 0.3008  12 Ni 2.86-3.16, 2 Mn 3.05
Nd3 0.3008 0.6992 0.6992  12 Ni 2.86-3.16, 2 Mn 3.05
Mn1 0.5000 0.2937 0.7063  8 Ni 2.48-2.73
Mn2 0.5000 0.7063 0.2937  8 Ni 2.48-2.73
Ni1 0.0000 0.5000 0.5000  4 Ni 2.45, 4 Mn 2.73
Ni2 0.6761 0.9736 0.6742  4 Ni 2.43-2.68, 1 Mn 2.50
Ni3 0.3239 0.0264 0.3258  4 Ni 2.43-2.68, 1 Mn 2.50
Ni4 0.6761 0.6742 0.9736  4 Ni 2.43-2.68, 1 Mn 2.50
Ni5 0.3239 0.3258 0.0264  4 Ni 2.43-2.68, 1 Mn 2.50
Ni6 0.8824 0.8394 0.3959  4 Ni 2.43-2.60, 2 Mn 2.48
Ni7 0.1176 0.1606 0.6041  4 Ni 2.43-2.60, 2 Mn 2.48
Ni8 0.8824 0.3959 0.8394  4 Ni 2.43-2.60, 2 Mn 2.48
Ni9 0.1176 0.6041 0.1606  4 Ni 2.43-2.60, 2 Mn 2.48


Record 4
# NdMnNi4

Crystalline NdMnNi4 at its relaxed geometry (PBE-GGA, the Alexandria database).

Computed properties:
As for the energy relative to the elements: -0.052 eV/atom. As for the space group: Pmma, No. 51. For the energy, the calculation gives -6.23 eV/atom.

a b c (Å): 3.7869 6.6233 7.1276
angles (deg): 90.00 90.00 90.00
Last column: nearest neighbours and their distance in Å.
Sites, in units of the cell vectors:
Nd1 0.0000 0.6399 0.7500  1 Mn 2.80, 8 Ni 2.89-2.98
Nd2 0.0000 0.3601 0.2500  1 Mn 2.80, 8 Ni 2.89-2.98
Mn1 0.0000 0.2173 0.7500  8 Ni 2.29-2.51
Mn2 0.0000 0.7827 0.2500  8 Ni 2.29-2.51
Ni1 0.0000 0.0000 0.5000  2 Mn 2.29
Ni2 0.0000 0.0000 0.0000  2 Mn 2.29
Ni3 0.5000 0.9686 0.7500  8 Ni 2.49-2.69, 2 Mn 2.51
Ni4 0.5000 0.0314 0.2500  8 Ni 2.49-2.69, 2 Mn 2.51
Ni5 0.5000 0.7222 0.0509  2 Mn 2.40, 3 Ni 2.49-2.67
Ni6 0.5000 0.2778 0.9491  2 Mn 2.40, 3 Ni 2.49-2.67
Ni7 0.5000 0.7222 0.4491  2 Mn 2.40, 3 Ni 2.49-2.67
Ni8 0.5000 0.2778 0.5509  2 Mn 2.40, 3 Ni 2.49-2.67